Material: Eu2Zr2O7
Method: DFT, GGA-PBE
State: optimized geometry

a = 10.758 Å, b = 10.758 Å, c = 10.758 Å
α = 90.00°, β = 90.00°, γ = 90.00°
Space group Fd-3m (No. 227, origin choice 2)
Unique sites:
Eu: 0.000 0.000 0.000 (multiplicity 16)
Zr: 0.000 0.000 0.500 (multiplicity 16)
O: 0.085 0.375 0.875 (multiplicity 48)
O: 0.125 0.125 0.125 (multiplicity 8)

Computed properties:
Formation energy without anion corrections: -3087 meV per atom
VASP energy: -9.665 eV/atom

---

Material: ZrOs3W
Method: DFT, GGA-PBE
State: optimized geometry

a = 4.698 Å, b = 4.698 Å, c = 4.698 Å
α = 90.00°, β = 90.00°, γ = 90.00°
Space group Pm-3m (No. 221)
Unique sites:
Zr: 0.000 0.000 0.000 (multiplicity 1)
Os: 0.000 0.500 0.500 (multiplicity 3)
W: 0.500 0.500 0.500 (multiplicity 1)

Computed properties:
VASP energy: -9.486 eV/atom
Calculated formation energy: 1.5518 eV/atom
ΔE to the lowest computed polymorph: 0 meV per atom

---

Material: SmGa3Ag3
Method: DFT, GGA-PBE
State: optimized geometry

a = 6.599 Å, b = 4.349 Å, c = 9.803 Å
α = 90.00°, β = 103.22°, γ = 90.00°
Space group P2_1/m (No. 11)
Unique sites:
Sm: 0.243 0.250 0.396 (multiplicity 2)
Ga: 0.083 0.250 0.671 (multiplicity 2)
Ga: 0.087 0.750 0.113 (multiplicity 2)
Ga: 0.293 0.750 0.616 (multiplicity 2)
Ag: 0.186 0.750 0.864 (multiplicity 2)
Ag: 0.350 0.250 0.049 (multiplicity 2)
Ag: 0.498 0.750 0.235 (multiplicity 2)

Computed properties:
VASP energy: -3.445 eV/atom
Calculated formation energy: -0.2518 eV/atom
ΔE to the lowest computed polymorph: 0 meV per atom

---

Material: Pu6MgPt5
Method: DFT, GGA-PBE
State: optimized geometry

a = 5.055 Å, b = 6.771 Å, c = 15.560 Å
α = 90.00°, β = 90.00°, γ = 90.00°
Space group Immm (No. 71)
Unique sites:
Pu: 0.000 0.217 0.000 (multiplicity 4)
Pu: 0.000 0.263 0.324 (multiplicity 8)
Mg: 0.000 0.000 0.500 (multiplicity 2)
Pt: 0.000 0.000 0.172 (multiplicity 4)
Pt: 0.000 0.500 0.138 (multiplicity 4)
Pt: 0.000 0.500 0.500 (multiplicity 2)

Computed properties:
VASP energy: -10.405 eV/atom
Calculated formation energy: -0.5891 eV/atom

---

Material: Nd2Ag3Sn4
Method: DFT, GGA-PBE
State: optimized geometry

a = 6.376 Å, b = 16.358 Å, c = 8.416 Å
α = 90.00°, β = 90.00°, γ = 90.00°
Space group Cmce (No. 64)
Unique sites:
Nd: 0.000 0.111 0.091 (multiplicity 8)
Ag: 0.000 0.000 0.500 (multiplicity 4)
Ag: 0.250 0.226 0.750 (multiplicity 8)
Sn: 0.000 0.179 0.471 (multiplicity 8)
Sn: 0.250 0.054 0.750 (multiplicity 8)

Computed properties:
VASP energy: -4.191 eV/atom
Calculated formation energy: -0.4022 eV/atom